Computed, not measured: a relaxed structure of InSeCl2 at the GGA-PBE level of DFT.

Cell: 7.105 5.107 13.216 Å, 90.00 90.00 90.00°
Space group Pnna (No. 52)
Unique sites:
1 In 0.250 0.000 0.064 [4 per cell]
2 Se 0.184 0.250 0.250 [4 per cell]
3 Cl 0.079 0.249 0.572 [8 per cell]

Results
Excess energy over the best structure of this formula in the dataset: 0 meV/atom
E_form (uncorrected): -658 meV/atom
Total energy: -3.137 eV per atom
Magnetization: 0.00 μB/f.u.